Below is YMg6Zr after structural relaxation, with properties calculated at the PBE-GGA level.

a b c (Å): 6.3688 6.3688 4.6985
angles (deg): 90.00 90.00 96.26
Closest atoms and distances in Å follow each position.
Fractional coordinates of all 8 atoms:
Zr 0.0000 0.0000 0.5000  12 Mg 3.12-3.29
Y 0.5000 0.5000 0.5000  12 Mg 3.18-3.39
Mg 0.2421 0.7579 0.0000  8 Mg 3.08-3.29, 2 Zr 3.29, 2 Y 3.39
Mg 0.2411 0.2411 0.0000  8 Mg 3.08-3.34, 2 Zr 3.12, 2 Y 3.22
Mg 0.7579 0.2421 0.0000  8 Mg 3.08-3.29, 2 Zr 3.29, 2 Y 3.39
Mg 0.7589 0.7589 0.0000  8 Mg 3.08-3.34, 2 Zr 3.12, 2 Y 3.22
Mg 0.5000 0.0000 0.5000  8 Mg 3.17-3.34, 2 Zr 3.18, 2 Y 3.18
Mg 0.0000 0.5000 0.5000  8 Mg 3.17-3.34, 2 Y 3.18, 2 Zr 3.18

For the raw total energy, the calculation gives -3.09 eV/atom. The formation enthalpy at 0 K is -0.017 eV per atom. The calculation puts the density of states at the Fermi level at 6.53 states/eV/cell.